(1)
{
  "formula": "Ce6DyOs4",
  "functional": "GGA-PBE",
  "state": "relaxed",
  "cell": [[7.346, -0.180, -0.265], [-3.556, 6.431, 0.265], [-3.556, -2.118, 6.078]],
  "species": ["Ce", "Ce", "Ce", "Ce", "Ce", "Ce", "Dy", "Os", "Os", "Os", "Os"],
  "fractional_positions": [[0.000, 0.876, 0.540], [0.000, 0.540, 0.876], [0.664, 0.124, 0.124], [0.500, 0.000, 0.500], [0.336, 0.460, 0.460], [0.500, 0.500, 0.000], [0.000, 0.000, 0.000], [0.000, 0.233, 0.632], [0.601, 0.368, 0.368], [0.000, 0.632, 0.233], [0.399, 0.767, 0.767]],
  "formation_enthalpy_0k_ev_per_atom": -0.074,
  "mass_density_g_cm3": 10.481,
  "spacegroup": "I-42m",
  "crystal_system": "tetragonal"
}

=====

(2)
{
  "formula": "Ce12DyOs7",
  "functional": "GGA-PBE",
  "state": "relaxed",
  "cell": [[-2.418, -6.483, -5.448], [5.496, -3.515, 5.915], [-7.217, 2.528, 4.367]],
  "species": ["Ce", "Ce", "Ce", "Ce", "Ce", "Ce", "Ce", "Ce", "Ce", "Ce", "Ce", "Ce", "Dy", "Os", "Os", "Os", "Os", "Os", "Os", "Os"],
  "fractional_positions": [[0.925, 0.313, 0.777], [0.687, 0.223, 0.075], [0.463, 0.157, 0.378], [0.843, 0.622, 0.537], [0.223, 0.075, 0.687], [0.622, 0.537, 0.843], [0.378, 0.463, 0.157], [0.777, 0.925, 0.313], [0.157, 0.378, 0.463], [0.537, 0.843, 0.622], [0.313, 0.777, 0.925], [0.075, 0.687, 0.223], [0.000, 0.000, 0.000], [0.978, 0.637, 0.864], [0.363, 0.136, 0.022], [0.136, 0.022, 0.363], [0.500, 0.500, 0.500], [0.864, 0.978, 0.637], [0.637, 0.864, 0.978], [0.022, 0.363, 0.136]],
  "formation_enthalpy_0k_ev_per_atom": -0.048,
  "mass_density_g_cm3": 9.281,
  "spacegroup": "R-3",
  "crystal_system": "trigonal"
}

=====

(3)
{
  "formula": "Ce5DyOs4",
  "functional": "GGA-PBE",
  "state": "relaxed",
  "cell": [[-0.708, 4.756, 0.828], [-3.016, -1.478, 5.918], [10.198, -0.312, -3.869]],
  "species": ["Ce", "Ce", "Ce", "Ce", "Ce", "Dy", "Os", "Os", "Os", "Os"],
  "fractional_positions": [[0.834, 0.633, 0.669], [0.827, 0.128, 0.654], [0.173, 0.872, 0.346], [0.500, 0.500, 0.000], [0.166, 0.367, 0.331], [0.500, 0.000, 0.000], [0.336, 0.907, 0.673], [0.002, 0.742, 0.004], [0.664, 0.093, 0.327], [0.998, 0.258, 0.996]],
  "formation_enthalpy_0k_ev_per_atom": -0.141,
  "mass_density_g_cm3": 11.262,
  "spacegroup": "C2/m",
  "crystal_system": "monoclinic"
}

=====

(4)
{
  "formula": "Ce12DyOs6",
  "functional": "GGA-PBE",
  "state": "relaxed",
  "cell": [[-1.705, -1.183, -7.938], [2.891, -7.208, 2.649], [-7.306, 0.826, 3.642]],
  "species": ["Ce", "Ce", "Ce", "Ce", "Ce", "Ce", "Ce", "Ce", "Ce", "Ce", "Ce", "Ce", "Dy", "Os", "Os", "Os", "Os", "Os", "Os"],
  "fractional_positions": [[0.891, 0.109, 0.500], [0.831, 0.574, 0.574], [0.574, 0.574, 0.831], [0.426, 0.169, 0.426], [0.426, 0.426, 0.169], [0.169, 0.426, 0.426], [0.109, 0.500, 0.891], [0.500, 0.891, 0.109], [0.109, 0.891, 0.500], [0.891, 0.500, 0.109], [0.500, 0.109, 0.891], [0.574, 0.831, 0.574], [0.000, 0.000, 0.000], [0.719, 0.278, 0.278], [0.278, 0.278, 0.719], [0.278, 0.719, 0.278], [0.722, 0.722, 0.281], [0.281, 0.722, 0.722], [0.722, 0.281, 0.722]],
  "formation_enthalpy_0k_ev_per_atom": -0.019,
  "mass_density_g_cm3": 10.265,
  "spacegroup": "R-3m",
  "crystal_system": "trigonal"
}

=====

(5)
{
  "formula": "Ce3DyOs3",
  "functional": "GGA-PBE",
  "state": "relaxed",
  "cell": [[8.739, 0.000, 0.000], [4.369, 7.568, 0.000], [4.369, 2.523, 5.236]],
  "species": ["Ce", "Ce", "Ce", "Ce", "Ce", "Ce", "Dy", "Dy", "Os", "Os", "Os", "Os", "Os", "Os"],
  "fractional_positions": [[0.372, 0.817, 0.684], [0.817, 0.127, 0.684], [0.127, 0.372, 0.684], [0.873, 0.628, 0.316], [0.183, 0.873, 0.316], [0.628, 0.183, 0.316], [0.328, 0.328, 0.017], [0.672, 0.672, 0.983], [0.298, 0.563, 0.193], [0.947, 0.298, 0.193], [0.563, 0.947, 0.193], [0.437, 0.053, 0.807], [0.053, 0.702, 0.807], [0.702, 0.437, 0.807]],
  "formation_enthalpy_0k_ev_per_atom": -0.128,
  "mass_density_g_cm3": 11.064,
  "spacegroup": "R-3",
  "crystal_system": "trigonal"
}

=====

(6)
{
  "formula": "Ce3DyOs2",
  "functional": "GGA-PBE",
  "state": "relaxed",
  "cell": [[4.039, 0.000, 0.000], [-2.020, 8.442, -0.114], [0.000, -3.878, 8.514]],
  "species": ["Ce", "Ce", "Ce", "Ce", "Ce", "Ce", "Dy", "Dy", "Os", "Os", "Os", "Os"],
  "fractional_positions": [[0.279, 0.557, 0.618], [0.946, 0.893, 0.620], [0.634, 0.268, 0.734], [0.366, 0.732, 0.266], [0.054, 0.107, 0.380], [0.721, 0.443, 0.382], [0.890, 0.781, 0.966], [0.110, 0.219, 0.034], [0.472, 0.943, 0.827], [0.528, 0.057, 0.173], [0.758, 0.517, 0.106], [0.242, 0.483, 0.894]],
  "formation_enthalpy_0k_ev_per_atom": -0.132,
  "mass_density_g_cm3": 11.088,
  "spacegroup": "C2/m",
  "crystal_system": "monoclinic"
}

=====

(7)
{
  "formula": "Ce2DyOs2",
  "functional": "GGA-PBE",
  "state": "relaxed",
  "cell": [[4.372, 0.000, 1.147], [1.928, 5.473, 1.555], [-0.162, 0.010, 9.518]],
  "species": ["Ce", "Ce", "Ce", "Ce", "Dy", "Dy", "Os", "Os", "Os", "Os"],
  "fractional_positions": [[0.017, 0.669, 0.297], [0.170, 0.738, 0.921], [0.983, 0.331, 0.703], [0.830, 0.262, 0.079], [0.713, 0.939, 0.635], [0.287, 0.061, 0.365], [0.387, 0.614, 0.612], [0.446, 0.214, 0.895], [0.613, 0.386, 0.388], [0.554, 0.786, 0.105]],
  "formation_enthalpy_0k_ev_per_atom": -0.157,
  "mass_density_g_cm3": 11.956,
  "spacegroup": "C2/m",
  "crystal_system": "monoclinic"
}

=====

(8)
{
  "formula": "CeDyOsRh",
  "functional": "GGA-PBE",
  "state": "relaxed",
  "cell": [[-2.706, -3.410, -2.193], [-0.680, -4.324, 2.145], [-4.378, -1.167, 1.799]],
  "species": ["Rh", "Os", "Ce", "Dy"],
  "fractional_positions": [[0.250, 0.250, 0.250], [0.750, 0.750, 0.750], [0.000, 0.000, 0.000], [0.500, 0.500, 0.500]],
  "formation_enthalpy_0k_ev_per_atom": -0.450,
  "mass_density_g_cm3": 12.080,
  "spacegroup": "F-43m",
  "crystal_system": "cubic"
}

=====

(9)
{
  "formula": "CeDyTcOs",
  "functional": "GGA-PBE",
  "state": "relaxed",
  "cell": [[4.852, 0.000, 0.000], [2.426, 4.202, 0.000], [2.426, 1.401, 3.962]],
  "species": ["Os", "Tc", "Ce", "Dy"],
  "fractional_positions": [[0.250, 0.250, 0.250], [0.750, 0.750, 0.750], [0.500, 0.500, 0.500], [0.000, 0.000, 0.000]],
  "formation_enthalpy_0k_ev_per_atom": -0.055,
  "mass_density_g_cm3": 12.144,
  "spacegroup": "F-43m",
  "crystal_system": "cubic"
}

=====

(10)
{
  "formula": "CeDyTlOs",
  "functional": "GGA-PBE",
  "state": "relaxed",
  "cell": [[-3.604, 2.227, 2.890], [-3.943, -2.765, 1.764], [-0.325, -1.105, 4.997]],
  "species": ["Tl", "Os", "Ce", "Dy"],
  "fractional_positions": [[0.500, 0.500, 0.500], [0.000, 0.000, 0.000], [0.750, 0.750, 0.750], [0.250, 0.250, 0.250]],
  "formation_enthalpy_0k_ev_per_atom": -0.066,
  "mass_density_g_cm3": 12.139,
  "spacegroup": "F-43m",
  "polymorph_energy_mev_per_atom": 231.5,
  "crystal_system": "cubic"
}

=====

(11)
{
  "formula": "CeDyTlOs",
  "functional": "GGA-PBE",
  "state": "relaxed",
  "cell": [[-1.384, -3.049, -0.425], [3.063, -1.411, 0.149], [-0.788, -0.820, 8.438]],
  "species": ["Ce", "Dy", "Tl", "Os"],
  "fractional_positions": [[0.500, 0.500, 0.369], [0.500, 0.500, 0.776], [0.000, 0.000, 0.067], [0.000, 0.000, 0.573]],
  "formation_enthalpy_0k_ev_per_atom": -0.298,
  "mass_density_g_cm3": 11.936,
  "spacegroup": "P4mm",
  "polymorph_energy_mev_per_atom": 0.0,
  "crystal_system": "tetragonal"
}

=====

(12)
{
  "formula": "CeDyZnOs",
  "functional": "GGA-PBE",
  "state": "relaxed",
  "cell": [[4.948, 0.000, 0.000], [2.474, 4.285, 0.000], [2.474, 1.428, 4.040]],
  "species": ["Zn", "Os", "Ce", "Dy"],
  "fractional_positions": [[0.750, 0.750, 0.750], [0.250, 0.250, 0.250], [0.500, 0.500, 0.500], [0.000, 0.000, 0.000]],
  "formation_enthalpy_0k_ev_per_atom": -0.233,
  "mass_density_g_cm3": 10.821,
  "spacegroup": "F-43m",
  "crystal_system": "cubic"
}